[1]
Here is an optimized crystal structure of ScReTe2 from Alexandria. Energies are from PBE.

a b c (Å): 5.1833 3.5802 4.6071
angles (deg): 90.00 90.00 90.00
Fractional coordinates of all 4 atoms:
Te  0.0000  0.8749  0.9757
Te  0.5000  0.3751  0.2779
Re  0.0000  0.3749  0.4951
Sc  0.5000  0.8751  0.7513

Properties
Formation energy without anion corrections (eV per atom): -0.05
Excess energy over the best structure of this formula in the dataset (meV/atom): 169
Space-group type: Pmm2, No. 25
Size of the total moment (μB per cell): 0.00

[2]
Here is an optimized crystal structure of Sc2ReTe from Alexandria. Energies are from PBE.

a b c (Å): 4.7533 4.7533 4.7533
angles (deg): 60.00 60.00 60.00
Fractional coordinates of all 4 atoms:
Sc  0.2500  0.2500  0.2500
Sc  0.0000  0.0000  0.0000
Re  0.5000  0.5000  0.5000
Te  0.7500  0.7500  0.7500

Properties
Formation energy without anion corrections (eV per atom): -0.01
Space-group type: F-43m, No. 216
Size of the total moment (μB per cell): 0.00

[3]
Here is an optimized crystal structure of ScReTe from Alexandria. Energies are from PBE.

a b c (Å): 4.5444 4.5444 3.3106
angles (deg): 90.00 90.00 120.00
Fractional coordinates of all 3 atoms:
Te  0.3333  0.6667  0.8331
Sc  0.6667  0.3333  0.3338
Re  0.0000  0.0000  0.8331

Properties
Formation energy without anion corrections (eV per atom): 0.01
Excess energy over the best structure of this formula in the dataset (meV/atom): 0
Space-group type: P-6m2, No. 187
Size of the total moment (μB per cell): 0.00

[4]
Here is an optimized crystal structure of Sc2ReTe from Alexandria. Energies are from PBE.

a b c (Å): 3.8360 3.8360 5.9416
angles (deg): 90.00 90.00 90.00
Fractional coordinates of all 4 atoms:
Re  0.5000  0.5000  0.8319
Sc  0.0000  0.0000  0.9500
Sc  0.5000  0.5000  0.2616
Te  0.0000  0.0000  0.4564

Properties
Formation energy without anion corrections (eV per atom): -0.09
Space-group type: P4mm, No. 99
Size of the total moment (μB per cell): 0.00